Entry 1:
Below is a geometry-optimized KErAgBr6 structure, with properties calculated at the GGA-PBE level.

a b c (Å): 7.072 7.074 7.353
angles (deg): 92.39 92.47 115.25
Atoms (fractional coordinates):
1 K 0.000 0.000 0.000
2 Er 0.331 0.669 0.500
3 Ag 0.677 0.323 0.500
4 Br 0.020 0.358 0.692
5 Br 0.023 0.630 0.251
6 Br 0.371 0.977 0.751
7 Br 0.398 0.370 0.275
8 Br 0.630 0.601 0.726
9 Br 0.642 0.980 0.309

M_tot: 0.9 μB/f.u.
ΔE_f (raw): -1.28 eV/atom
Space group: No. 1

=====

Entry 2:
Below is a geometry-optimized Li3Er2TmS6 structure, with properties calculated at the GGA-PBE level.

a b c (Å): 6.706 6.706 6.554
angles (deg): 99.81 99.81 120.01
Atoms (fractional coordinates):
1 Li 0.000 0.000 0.000
2 Li 0.334 0.666 0.000
3 Li 0.666 0.334 0.000
4 Er 0.167 0.833 0.500
5 Er 0.833 0.167 0.500
6 Tm 0.500 0.500 0.500
7 S 0.085 0.417 0.251
8 S 0.251 0.251 0.748
9 S 0.417 0.085 0.251
10 S 0.583 0.915 0.749
11 S 0.749 0.749 0.252
12 S 0.915 0.583 0.749

M_tot: 0.0 μB/f.u.
ΔE_f (raw): -1.86 eV/atom
Space group: No. 12

=====

Entry 3:
Below is a geometry-optimized AcSmCuPt structure, with properties calculated at the GGA-PBE level.

a b c (Å): 5.209 5.209 5.209
angles (deg): 60.00 60.00 60.00
Atoms (fractional coordinates):
1 Ac 0.000 0.000 0.000
2 Sm 0.500 0.500 0.500
3 Cu 0.250 0.250 0.250
4 Pt 0.750 0.750 0.750

ΔE to the lowest computed polymorph: 86.1 meV/atom
M_tot: 0.0 μB/f.u.
Space group: No. 216

=====

What is the formula in the third record? AcSmCuPt